Here is a relaxed structure of Li2AsIr from Alexandria via LeMat-Bulk. Energies are from PBE-GGA. Values from VASP.

Summary:
* crystal system: tetragonal
* symmetry: No. 122
* E_tot: -0.321 Ry/atom

Structure (Quantum ESPRESSO input):
```
&SYSTEM
  ibrav = 0, nat = 8, ntyp = 3
/
ATOMIC_SPECIES
Li 6.94 Li.upf
As 74.92 As.upf
Ir 192.22 Ir.upf
ATOMIC_POSITIONS crystal
Li 0.375 0.369 0.750
Li 0.119 0.625 0.250
Li 0.875 0.881 0.750
Li 0.631 0.125 0.250
As 0.500 0.500 0.000
As 0.250 0.750 0.500
Ir 0.750 0.250 0.500
Ir 0.000 0.000 0.000
CELL_PARAMETERS angstrom
-2.141 -6.152 3.527
-0.052 -3.671 -6.434
1.153 -5.510 -1.130
```

Here is a relaxed structure of Li2AsIr from Alexandria via LeMat-Bulk. Energies are from PBE-GGA. Values from VASP.

Summary:
* crystal system: orthorhombic
* symmetry: No. 65
* E_tot: -0.332 Ry/atom

Structure (Quantum ESPRESSO input):
```
&SYSTEM
  ibrav = 0, nat = 4, ntyp = 3
/
ATOMIC_SPECIES
As 74.92 As.upf
Li 6.94 Li.upf
Ir 192.22 Ir.upf
ATOMIC_POSITIONS crystal
As 0.500 0.500 0.250
Li 0.000 0.000 0.997
Li 0.000 0.000 0.503
Ir 0.500 0.500 0.750
CELL_PARAMETERS angstrom
2.739 0.018 0.000
-1.255 2.434 0.000
0.000 0.000 8.723
```

Here is a relaxed structure of LiAs3Ir from Alexandria via LeMat-Bulk. Energies are from PBE-GGA. Values from VASP.

Summary:
* crystal system: cubic
* relative energy among the computed polymorphs: 0 meV/atom
* symmetry: No. 221

Structure (Quantum ESPRESSO input):
```
&SYSTEM
  ibrav = 0, nat = 5, ntyp = 3
/
ATOMIC_SPECIES
As 74.92 As.upf
Ir 192.22 Ir.upf
Li 6.94 Li.upf
ATOMIC_POSITIONS crystal
As 0.000 0.500 0.000
As 0.500 0.000 0.000
As 0.000 0.000 0.500
Ir 0.000 0.000 0.000
Li 0.500 0.500 0.500
CELL_PARAMETERS angstrom
4.910 0.000 0.000
0.000 4.910 0.000
0.000 0.000 4.910
```

Here is a relaxed structure of Li3AsIr from Alexandria via LeMat-Bulk. Energies are from PBE-GGA. Values from VASP.

Summary:
* crystal system: cubic
* relative energy among the computed polymorphs: 0 meV/atom
* symmetry: No. 221

Structure (Quantum ESPRESSO input):
```
&SYSTEM
  ibrav = 0, nat = 5, ntyp = 3
/
ATOMIC_SPECIES
As 74.92 As.upf
Ir 192.22 Ir.upf
Li 6.94 Li.upf
ATOMIC_POSITIONS crystal
As 0.500 0.500 0.500
Ir 0.000 0.000 0.000
Li 0.000 0.000 0.500
Li 0.000 0.500 0.000
Li 0.500 0.000 0.000
CELL_PARAMETERS angstrom
4.564 0.000 0.000
0.000 4.564 0.000
0.000 0.000 4.564
```

Here is a relaxed structure of Li2AsIr2 from Alexandria via LeMat-Bulk. Energies are from PBE-GGA. Values from VASP.

Summary:
* crystal system: tetragonal
* symmetry: No. 127
* E_tot: -0.404 Ry/atom

Structure (Quantum ESPRESSO input):
```
&SYSTEM
  ibrav = 0, nat = 10, ntyp = 3
/
ATOMIC_SPECIES
Ir 192.22 Ir.upf
Li 6.94 Li.upf
As 74.92 As.upf
ATOMIC_POSITIONS crystal
Ir 0.145 0.355 0.000
Ir 0.855 0.645 0.000
Ir 0.645 0.145 0.000
Ir 0.355 0.855 0.000
Li 0.158 0.658 0.500
Li 0.842 0.342 0.500
Li 0.658 0.842 0.500
Li 0.342 0.158 0.500
As 0.000 0.000 0.000
As 0.500 0.500 0.000
CELL_PARAMETERS angstrom
6.143 0.000 0.000
0.000 6.143 0.000
0.000 0.000 4.340
```

Here is a relaxed structure of LiAs2Ir from Alexandria via LeMat-Bulk. Energies are from PBE-GGA. Values from VASP.

Summary:
* crystal system: orthorhombic
* relative energy among the computed polymorphs: 187 meV/atom
* symmetry: No. 65

Structure (Quantum ESPRESSO input):
```
&SYSTEM
  ibrav = 0, nat = 4, ntyp = 3
/
ATOMIC_SPECIES
As 74.92 As.upf
Ir 192.22 Ir.upf
Li 6.94 Li.upf
ATOMIC_POSITIONS crystal
As 0.000 0.000 0.000
As 0.500 0.500 0.000
Ir 0.500 0.000 0.500
Li 0.000 0.500 0.500
CELL_PARAMETERS angstrom
-4.171 -0.997 -1.309
1.393 -3.755 2.017
-1.124 1.069 2.766
```

Here is a relaxed structure of LiAs2Ir from Alexandria via LeMat-Bulk. Energies are from PBE-GGA. Values from VASP.

Summary:
* crystal system: monoclinic
* relative energy among the computed polymorphs: 19 meV/atom
* symmetry: No. 12

Structure (Quantum ESPRESSO input):
```
&SYSTEM
  ibrav = 0, nat = 4, ntyp = 3
/
ATOMIC_SPECIES
As 74.92 As.upf
Li 6.94 Li.upf
Ir 192.22 Ir.upf
ATOMIC_POSITIONS crystal
As 0.011 0.011 0.977
As 0.489 0.489 0.523
Li 0.250 0.250 0.250
Ir 0.750 0.750 0.750
CELL_PARAMETERS angstrom
4.108 0.003 -0.004
2.959 2.849 -0.004
0.991 0.400 5.721
```

Here is a relaxed structure of Li2AsIr from Alexandria via LeMat-Bulk. Energies are from PBE-GGA. Values from VASP.

Summary:
* crystal system: orthorhombic
* symmetry: No. 25
* E_tot: -0.340 Ry/atom

Structure (Quantum ESPRESSO input):
```
&SYSTEM
  ibrav = 0, nat = 4, ntyp = 3
/
ATOMIC_SPECIES
As 74.92 As.upf
Ir 192.22 Ir.upf
Li 6.94 Li.upf
ATOMIC_POSITIONS crystal
As 0.000 0.000 0.526
Ir 0.500 0.500 0.732
Li 0.000 0.000 0.996
Li 0.500 0.500 0.246
CELL_PARAMETERS angstrom
3.004 0.000 0.000
0.000 3.526 0.000
0.000 0.000 5.515
```

Here is a relaxed structure of Li2AsIr from Alexandria via LeMat-Bulk. Energies are from PBE-GGA. Values from VASP.

Summary:
* crystal system: orthorhombic
* symmetry: No. 65
* E_tot: -0.340 Ry/atom

Structure (Quantum ESPRESSO input):
```
&SYSTEM
  ibrav = 0, nat = 4, ntyp = 3
/
ATOMIC_SPECIES
Li 6.94 Li.upf
As 74.92 As.upf
Ir 192.22 Ir.upf
ATOMIC_POSITIONS crystal
Li 0.000 0.000 0.000
Li 0.500 0.000 0.500
As 0.000 0.500 0.500
Ir 0.500 0.500 0.000
CELL_PARAMETERS angstrom
-2.009 5.311 -0.008
-3.261 -3.529 -0.197
-1.237 1.015 2.302
```

Here is a relaxed structure of Li2AsIr from Alexandria via LeMat-Bulk. Energies are from PBE-GGA. Values from VASP.

Summary:
* crystal system: tetragonal
* symmetry: No. 123
* E_tot: -0.343 Ry/atom

Structure (Quantum ESPRESSO input):
```
&SYSTEM
  ibrav = 0, nat = 4, ntyp = 3
/
ATOMIC_SPECIES
Li 6.94 Li.upf
As 74.92 As.upf
Ir 192.22 Ir.upf
ATOMIC_POSITIONS crystal
Li 0.500 0.500 0.000
Li 0.000 0.000 0.000
As 0.500 0.000 0.500
Ir 0.000 0.500 0.500
CELL_PARAMETERS angstrom
-2.245 0.637 -2.844
2.606 -1.161 -2.317
-1.443 -3.812 0.286
```

Here is a relaxed structure of LiAs2Ir from Alexandria via LeMat-Bulk. Energies are from PBE-GGA. Values from VASP.

Summary:
* crystal system: tetragonal
* relative energy among the computed polymorphs: 214 meV/atom
* symmetry: No. 122

Structure (Quantum ESPRESSO input):
```
&SYSTEM
  ibrav = 0, nat = 8, ntyp = 3
/
ATOMIC_SPECIES
As 74.92 As.upf
Li 6.94 Li.upf
Ir 192.22 Ir.upf
ATOMIC_POSITIONS crystal
As 0.875 0.918 0.750
As 0.668 0.125 0.250
As 0.375 0.332 0.750
As 0.082 0.625 0.250
Li 0.250 0.750 0.500
Li 0.500 0.500 0.000
Ir 0.000 0.000 0.000
Ir 0.750 0.250 0.500
CELL_PARAMETERS angstrom
-2.385 -0.382 5.616
5.577 -0.987 2.302
2.230 4.315 4.568
```

Here is a relaxed structure of LiAs2Ir from Alexandria via LeMat-Bulk. Energies are from PBE-GGA. Values from VASP.

Summary:
* crystal system: cubic
* relative energy among the computed polymorphs: 0 meV/atom
* symmetry: No. 225

Structure (Quantum ESPRESSO input):
```
&SYSTEM
  ibrav = 0, nat = 4, ntyp = 3
/
ATOMIC_SPECIES
Li 6.94 Li.upf
Ir 192.22 Ir.upf
As 74.92 As.upf
ATOMIC_POSITIONS crystal
Li 0.000 0.000 0.000
Ir 0.500 0.500 0.500
As 0.750 0.750 0.750
As 0.250 0.250 0.250
CELL_PARAMETERS angstrom
0.000 3.127 3.127
3.127 0.000 3.127
3.127 3.127 0.000
```

Here is a relaxed structure of LiAs2Ir from Alexandria via LeMat-Bulk. Energies are from PBE-GGA. Values from VASP.

Summary:
* crystal system: orthorhombic
* relative energy among the computed polymorphs: 129 meV/atom
* symmetry: No. 47

Structure (Quantum ESPRESSO input):
```
&SYSTEM
  ibrav = 0, nat = 4, ntyp = 3
/
ATOMIC_SPECIES
Ir 192.22 Ir.upf
As 74.92 As.upf
Li 6.94 Li.upf
ATOMIC_POSITIONS crystal
Ir 0.500 0.500 0.250
As 0.000 0.000 0.474
As 0.000 0.000 0.026
Li 0.500 0.500 0.750
CELL_PARAMETERS angstrom
-2.971 -0.139 -0.263
0.314 -1.208 -2.914
0.065 -6.424 2.670
```

The calculation returns the following calculated volume values, one per record and in order: 16.12, 14.59, 23.68, 19.01, 16.38, 15.50, 16.73, 14.61, 14.28, 13.81, 23.72, 15.29, 16.47 Å³/atom.
The calculation returns the following total magnetic moment values, one per record and in order: 0.0000, 0.0002, 0.0000, 0.0000, 0.0000, 0.0000, 0.0000, 0.0000, 0.0011, 0.0000, 0.0000, 0.0000, 0.0000 μB/atom.